[1]
Material: HfZr3Tl
Method: DFT, PBE-GGA
State: relaxed

abc: 5.184 5.184 5.184
angles: 90.00 90.00 90.00
Fractional coordinates of all 5 atoms:
1 Hf 0.000 0.000 0.000
2 Zr 0.000 0.000 0.500
3 Zr 0.000 0.500 0.000
4 Zr 0.500 0.000 0.000
5 Tl 0.500 0.500 0.500

Computed properties:
Fermi-level density of states ... 11.3 states/eV/f.u.
ΔH_f (0 K) ... 1.00 eV per atom
DFT total energy ... -6.5956 eV/atom
Theoretical density ... 7.83 g/cm³
Space group ... No. 221

---

[2]
Material: In3Re
Method: DFT, PBE-GGA
State: relaxed

abc: 6.634 8.451 2.935
angles: 90.00 90.00 90.00
Fractional coordinates of all 8 atoms:
1 In 0.000 0.000 0.000
2 In 0.250 0.250 0.500
3 In 0.250 0.750 0.500
4 In 0.500 0.500 0.000
5 In 0.750 0.250 0.500
6 In 0.750 0.750 0.500
7 Re 0.000 0.500 0.000
8 Re 0.500 0.000 0.000

Computed properties:
Fermi-level density of states ... 1.6 states/eV/f.u.
ΔH_f (0 K) ... 0.64 eV per atom
DFT total energy ... -4.5213 eV/atom
Theoretical density ... 10.71 g/cm³
Space group ... No. 65

---

[3]
Material: LiCeSi
Method: DFT, PBE-GGA
State: relaxed

abc: 4.394 4.394 3.767
angles: 90.00 90.00 120.00
Fractional coordinates of all 3 atoms:
1 Li 0.000 0.000 0.000
2 Ce 0.667 0.333 0.500
3 Si 0.333 0.667 0.000

Computed properties:
Fermi-level density of states ... 4.5 states/eV/f.u.
Uncorrected formation energy ... -0.35 eV/atom
DFT total energy ... -4.7785 eV/atom
Theoretical density ... 4.62 g/cm³
Space group ... No. 187

---

[4]
Material: Ac4Pt2I5
Method: DFT, PBE-GGA
State: relaxed

abc: 11.641 11.641 11.641
angles: 158.69 127.84 56.97
Fractional coordinates of all 11 atoms:
1 Ac 0.161 0.161 0.000
2 Ac 0.208 0.500 0.708
3 Ac 0.792 0.500 0.292
4 Ac 0.839 0.839 0.000
5 Pt 0.294 0.294 0.000
6 Pt 0.706 0.706 0.000
7 I 0.096 0.339 0.757
8 I 0.418 0.661 0.757
9 I 0.500 0.000 0.500
10 I 0.582 0.339 0.243
11 I 0.904 0.661 0.243

Computed properties:
Fermi-level density of states ... 7.4 states/eV/f.u.
Uncorrected formation energy ... -0.61 eV/atom
DFT total energy ... -3.9037 eV/atom
Theoretical density ... 7.12 g/cm³
Space group ... No. 71

---

[5]
Material: BaRhSe2
Method: DFT, PBE-GGA
State: relaxed

abc: 5.114 5.114 3.672
angles: 90.00 90.00 90.00
Fractional coordinates of all 4 atoms:
1 Ba 0.000 0.000 0.000
2 Rh 0.500 0.500 0.000
3 Se 0.000 0.500 0.500
4 Se 0.500 0.000 0.500

Computed properties:
Fermi-level density of states ... 3.9 states/eV/f.u.
Uncorrected formation energy ... -0.40 eV/atom
DFT total energy ... -4.4614 eV/atom
Theoretical density ... 6.88 g/cm³
Space group ... No. 123

---

[6]
Material: EuLu2Ru
Method: DFT, PBE-GGA
State: relaxed

abc: 3.389 3.389 9.236
angles: 90.00 90.00 90.00
Fractional coordinates of all 4 atoms:
1 Eu 0.000 0.000 0.000
2 Lu 0.500 0.500 0.328
3 Lu 0.500 0.500 0.672
4 Ru 0.000 0.000 0.500

Computed properties:
Fermi-level density of states ... 2.0 states/eV/f.u.
ΔH_f (0 K) ... -0.30 eV per atom
DFT total energy ... -7.4443 eV/atom
Theoretical density ... 9.44 g/cm³
Space group ... No. 123

---

[7]
Material: TePW2
Method: DFT, PBE-GGA
State: relaxed

abc: 3.197 4.229 5.152
angles: 90.00 90.00 90.00
Fractional coordinates of all 4 atoms:
1 Te 0.000 0.000 0.000
2 P 0.500 0.000 0.500
3 W 0.000 0.500 0.500
4 W 0.500 0.500 0.000

Computed properties:
Fermi-level density of states ... 3.1 states/eV/f.u.
Uncorrected formation energy ... 0.95 eV/atom
DFT total energy ... -7.6615 eV/atom
Theoretical density ... 12.55 g/cm³
Space group ... No. 47

---

[8]
Material: LiFeBr2
Method: DFT, PBE-GGA
State: relaxed

abc: 4.838 4.838 3.369
angles: 90.00 90.00 90.00
Fractional coordinates of all 4 atoms:
1 Li 0.000 0.000 0.000
2 Fe 0.500 0.500 0.000
3 Br 0.000 0.500 0.500
4 Br 0.500 0.000 0.500

Computed properties:
Fermi-level density of states ... 1.5 states/eV/f.u.
Uncorrected formation energy ... -0.27 eV/atom
DFT total energy ... -3.6999 eV/atom
Theoretical density ... 4.69 g/cm³
Space group ... No. 123

---

no.,M_tot (μB per formula unit)
1,0.01
2,0.00
3,1.24
4,0.00
5,0.00
6,7.48
7,0.00
8,3.15